A relaxed structure of CsNa6, computed with PBE.

Properties
For the energy relative to the lowest polymorph listed for this composition, the calculation gives 0.000 eV/atom. The calculation puts the total energy at -1.231 eV/atom.

a b c (Å): 7.212 11.924 15.023
angles (deg): 90.00 90.00 90.00
Element x y z (fractional)
Cs 0.750 0.242 0.936
Cs 0.250 0.758 0.064
Cs 0.750 0.742 0.564
Cs 0.250 0.258 0.436
Na 0.750 0.593 0.018
Na 0.250 0.407 0.982
Na 0.750 0.093 0.482
Na 0.250 0.907 0.518
Na 0.004 0.435 0.191
Na 0.504 0.565 0.809
Na 0.496 0.935 0.309
Na 0.996 0.065 0.691
Na 0.996 0.565 0.809
Na 0.496 0.435 0.191
Na 0.504 0.065 0.691
Na 0.004 0.935 0.309
Na 0.250 0.141 0.143
Na 0.750 0.859 0.857
Na 0.250 0.641 0.357
Na 0.750 0.359 0.643
Na 0.250 0.814 0.754
Na 0.750 0.186 0.246
Na 0.250 0.314 0.746
Na 0.750 0.686 0.254
Na 0.250 0.553 0.594
Na 0.750 0.447 0.406
Na 0.250 0.053 0.906
Na 0.750 0.947 0.094